Entry 1:
Here is Pm2ErTh2 after structural relaxation from the Alexandria database. Energies are from GGA-PBE.

abc: 12.9788 12.9788 12.9788
angles: 164.08 164.08 22.59
Fractional coordinates of all 5 atoms:
1 Pm 0.1018 0.1018 0.0000
2 Pm 0.8982 0.8982 0.0000
3 Er 0.5000 0.5000 0.0000
4 Th 0.2978 0.2978 0.0000
5 Th 0.7022 0.7022 0.0000

Size of the total moment   0.0 μB per cell
Distance to the lowest polymorph of the same formula   0 meV per atom
ΔE_f   0.035 eV/atom

Entry 2:
Here is Pm2ErTh2 after structural relaxation from the Alexandria database. Energies are from GGA-PBE.

abc: 9.5647 9.5647 3.6610
angles: 90.00 90.00 90.00
Fractional coordinates of all 10 atoms:
1 Pm 0.1288 0.3712 0.0000
2 Pm 0.3712 0.8712 0.0000
3 Pm 0.6288 0.1288 0.0000
4 Pm 0.8712 0.6288 0.0000
5 Er 0.0000 0.0000 0.0000
6 Er 0.5000 0.5000 0.0000
7 Th 0.1707 0.6707 0.5000
8 Th 0.3293 0.1707 0.5000
9 Th 0.6707 0.8293 0.5000
10 Th 0.8293 0.3293 0.5000

Size of the total moment   0.0 μB per cell
Distance to the lowest polymorph of the same formula   183 meV per atom
ΔE_f   0.218 eV/atom

Entry 3:
Here is PmErTh3 after structural relaxation from the Alexandria database. Energies are from GGA-PBE.

abc: 8.3016 8.3016 8.3016
angles: 106.09 89.04 137.70
Fractional coordinates of all 10 atoms:
1 Pm 0.5000 0.0000 0.0000
2 Pm 0.5000 0.5000 0.5000
3 Er 0.0563 0.3063 0.7500
4 Er 0.9437 0.6937 0.2500
5 Th 0.0000 0.0000 0.0000
6 Th 0.0000 0.3315 0.3315
7 Th 0.0000 0.6685 0.6685
8 Th 0.5000 0.0000 0.5000
9 Th 0.5000 0.3315 0.8315
10 Th 0.5000 0.6685 0.1685

Size of the total moment   0.0 μB per cell
ΔE_f   0.383 eV/atom

Entry 4:
Here is Pm5Er4Th after structural relaxation from the Alexandria database. Energies are from GGA-PBE.

abc: 9.2509 9.2509 10.5375
angles: 96.64 96.64 22.23
Fractional coordinates of all 10 atoms:
1 Pm 0.0000 0.0000 0.0000
2 Pm 0.3105 0.3105 0.9041
3 Pm 0.3608 0.3608 0.2783
4 Pm 0.6392 0.6392 0.7217
5 Pm 0.6895 0.6895 0.0959
6 Er 0.1809 0.1809 0.4157
7 Er 0.4526 0.4526 0.7388
8 Er 0.5474 0.5474 0.2612
9 Er 0.8191 0.8191 0.5843
10 Th 0.0000 0.0000 0.5000

Size of the total moment   0.0 μB per cell
Distance to the lowest polymorph of the same formula   112 meV per atom
ΔE_f   0.153 eV/atom

Entry 5:
Here is Pm5Er6Th2 after structural relaxation from the Alexandria database. Energies are from GGA-PBE.

abc: 11.5085 20.8609 3.5716
angles: 90.00 90.00 90.00
Fractional coordinates of all 26 atoms:
1 Pm 0.0000 0.0000 0.0000
2 Pm 0.0651 0.2942 0.0000
3 Pm 0.1916 0.5773 0.0000
4 Pm 0.3084 0.0773 0.0000
5 Pm 0.4349 0.7942 0.0000
6 Pm 0.5000 0.5000 0.0000
7 Pm 0.5651 0.2058 0.0000
8 Pm 0.6916 0.9227 0.0000
9 Pm 0.8084 0.4227 0.0000
10 Pm 0.9349 0.7058 0.0000
11 Er 0.0621 0.1476 0.5000
12 Er 0.0801 0.4374 0.5000
13 Er 0.1866 0.8772 0.0000
14 Er 0.3134 0.3772 0.0000
15 Er 0.4199 0.9374 0.5000
16 Er 0.4379 0.6476 0.5000
17 Er 0.5621 0.3524 0.5000
18 Er 0.5801 0.0626 0.5000
19 Er 0.6866 0.6228 0.0000
20 Er 0.8134 0.1228 0.0000
21 Er 0.9199 0.5626 0.5000
22 Er 0.9379 0.8524 0.5000
23 Th 0.1884 0.7363 0.5000
24 Th 0.3116 0.2363 0.5000
25 Th 0.6884 0.7637 0.5000
26 Th 0.8116 0.2637 0.5000

Size of the total moment   0.0 μB per cell
ΔE_f   0.108 eV/atom

Entry 6:
Here is Pm7Er16Th6 after structural relaxation from the Alexandria database. Energies are from GGA-PBE.

abc: 11.0720 11.0720 11.0720
angles: 60.00 60.00 60.00
Fractional coordinates of all 29 atoms:
1 Pm 0.0000 0.0000 0.0000
2 Pm 0.0000 0.0000 0.5000
3 Pm 0.0000 0.5000 0.0000
4 Pm 0.0000 0.5000 0.5000
5 Pm 0.5000 0.0000 0.0000
6 Pm 0.5000 0.0000 0.5000
7 Pm 0.5000 0.5000 0.0000
8 Er 0.0251 0.6583 0.6583
9 Er 0.1216 0.1216 0.1216
10 Er 0.1216 0.1216 0.6353
11 Er 0.1216 0.6353 0.1216
12 Er 0.3417 0.3417 0.3417
13 Er 0.3417 0.3417 0.9749
14 Er 0.3417 0.9749 0.3417
15 Er 0.3647 0.8784 0.8784
16 Er 0.6353 0.1216 0.1216
17 Er 0.6583 0.0251 0.6583
18 Er 0.6583 0.6583 0.0251
19 Er 0.6583 0.6583 0.6583
20 Er 0.8784 0.3647 0.8784
21 Er 0.8784 0.8784 0.3647
22 Er 0.8784 0.8784 0.8784
23 Er 0.9749 0.3417 0.3417
24 Th 0.3306 0.3306 0.6694
25 Th 0.3306 0.6694 0.3306
26 Th 0.3306 0.6694 0.6694
27 Th 0.6694 0.3306 0.3306
28 Th 0.6694 0.3306 0.6694
29 Th 0.6694 0.6694 0.3306

Size of the total moment   0.0 μB per cell
ΔE_f   0.326 eV/atom